# KBaMg2 PBE-GGA relaxed
data_KBaMg2
_chemical_formula_sum 'K1 Ba1 Mg2'
_cell_length_a 12.300
_cell_length_b 12.300
_cell_length_c 12.300
_cell_angle_alpha 19.22
_cell_angle_beta 19.22
_cell_angle_gamma 19.22
_space_group_name_H-M_alt 'P 1'
_space_group_IT_number 1
loop_
_space_group_symop_operation_xyz
'x,y,z'
loop_
_atom_site_label
_atom_site_type_symbol
_atom_site_fract_x
_atom_site_fract_y
_atom_site_fract_z
K1 K 0.000 0.000 0.000
Ba1 Ba 0.500 0.500 0.500
Mg1 Mg 0.247 0.247 0.247
Mg2 Mg 0.753 0.753 0.753
# Formation energy ... 0.255 eV per atom


# Li2UTeO6 PBE-GGA relaxed
data_Li2UTeO6
_chemical_formula_sum 'Li2 U1 Te1 O6'
_cell_length_a 6.064
_cell_length_b 6.064
_cell_length_c 4.292
_cell_angle_alpha 90.00
_cell_angle_beta 90.00
_cell_angle_gamma 90.00
_space_group_name_H-M_alt 'P 1'
_space_group_IT_number 1
loop_
_space_group_symop_operation_xyz
'x,y,z'
loop_
_atom_site_label
_atom_site_type_symbol
_atom_site_fract_x
_atom_site_fract_y
_atom_site_fract_z
Li1 Li 0.000 0.500 0.000
Li2 Li 0.500 0.000 0.000
U1 U 0.000 0.000 0.890
Te1 Te 0.500 0.500 0.869
O1 O 0.000 0.000 0.399
O2 O 0.242 0.242 0.913
O3 O 0.242 0.758 0.913
O4 O 0.500 0.500 0.440
O5 O 0.758 0.242 0.913
O6 O 0.758 0.758 0.913
# Formation energy without anion corrections ... -2046 meV per atom


# KOs PBE-GGA relaxed
data_KOs
_chemical_formula_sum 'K1 Os1'
_cell_length_a 3.816
_cell_length_b 3.816
_cell_length_c 3.816
_cell_angle_alpha 90.00
_cell_angle_beta 90.00
_cell_angle_gamma 90.00
_space_group_name_H-M_alt 'P 1'
_space_group_IT_number 1
loop_
_space_group_symop_operation_xyz
'x,y,z'
loop_
_atom_site_label
_atom_site_type_symbol
_atom_site_fract_x
_atom_site_fract_y
_atom_site_fract_z
K1 K 0.000 0.000 0.000
Os1 Os 0.500 0.500 0.500
# Formation energy ... 2.626 eV per atom


# PuVPd PBE-GGA relaxed
data_PuVPd
_chemical_formula_sum 'Pu2 V2 Pd2'
_cell_length_a 4.593
_cell_length_b 4.593
_cell_length_c 5.642
_cell_angle_alpha 90.00
_cell_angle_beta 90.00
_cell_angle_gamma 120.00
_space_group_name_H-M_alt 'P 1'
_space_group_IT_number 1
loop_
_space_group_symop_operation_xyz
'x,y,z'
loop_
_atom_site_label
_atom_site_type_symbol
_atom_site_fract_x
_atom_site_fract_y
_atom_site_fract_z
Pu1 Pu 0.333 0.667 0.250
Pu2 Pu 0.667 0.333 0.750
V1 V 0.333 0.667 0.750
V2 V 0.667 0.333 0.250
Pd1 Pd 0.000 0.000 0.000
Pd2 Pd 0.000 0.000 0.500
# Formation energy ... 0.174 eV per atom


# Mn3BeCl PBE-GGA relaxed
data_Mn3BeCl
_chemical_formula_sum 'Mn3 Be1 Cl1'
_cell_length_a 4.343
_cell_length_b 4.343
_cell_length_c 4.343
_cell_angle_alpha 90.00
_cell_angle_beta 90.00
_cell_angle_gamma 90.00
_space_group_name_H-M_alt 'P 1'
_space_group_IT_number 1
loop_
_space_group_symop_operation_xyz
'x,y,z'
loop_
_atom_site_label
_atom_site_type_symbol
_atom_site_fract_x
_atom_site_fract_y
_atom_site_fract_z
Mn1 Mn 0.000 0.000 0.500
Mn2 Mn 0.000 0.500 0.000
Mn3 Mn 0.500 0.000 0.000
Be1 Be 0.000 0.000 0.000
Cl1 Cl 0.500 0.500 0.500
# Formation energy without anion corrections ... 654 meV per atom


# Ba3CePr3Te8 PBE-GGA relaxed
data_Ba3CePr3Te8
_chemical_formula_sum 'Ba3 Ce1 Pr3 Te8'
_cell_length_a 9.662
_cell_length_b 9.662
_cell_length_c 9.662
_cell_angle_alpha 57.29
_cell_angle_beta 57.29
_cell_angle_gamma 57.29
_space_group_name_H-M_alt 'P 1'
_space_group_IT_number 1
loop_
_space_group_symop_operation_xyz
'x,y,z'
loop_
_atom_site_label
_atom_site_type_symbol
_atom_site_fract_x
_atom_site_fract_y
_atom_site_fract_z
Ba1 Ba 0.000 0.500 0.500
Ba2 Ba 0.500 0.000 0.500
Ba3 Ba 0.500 0.500 0.000
Ce1 Ce 0.500 0.500 0.500
Pr1 Pr 0.000 0.000 0.500
Pr2 Pr 0.000 0.500 0.000
Pr3 Pr 0.500 0.000 0.000
Te1 Te 0.239 0.743 0.743
Te2 Te 0.242 0.242 0.242
Te3 Te 0.257 0.257 0.761
Te4 Te 0.257 0.761 0.257
Te5 Te 0.743 0.239 0.743
Te6 Te 0.743 0.743 0.239
Te7 Te 0.758 0.758 0.758
Te8 Te 0.761 0.257 0.257
# Formation energy without anion corrections ... -1559 meV per atom


# BaLaCdBi PBE-GGA relaxed
data_BaLaCdBi
_chemical_formula_sum 'Ba1 La1 Cd1 Bi1'
_cell_length_a 5.823
_cell_length_b 5.823
_cell_length_c 5.823
_cell_angle_alpha 60.00
_cell_angle_beta 60.00
_cell_angle_gamma 60.00
_space_group_name_H-M_alt 'P 1'
_space_group_IT_number 1
loop_
_space_group_symop_operation_xyz
'x,y,z'
loop_
_atom_site_label
_atom_site_type_symbol
_atom_site_fract_x
_atom_site_fract_y
_atom_site_fract_z
Ba1 Ba 0.000 0.000 0.000
La1 La 0.500 0.500 0.500
Cd1 Cd 0.250 0.250 0.250
Bi1 Bi 0.750 0.750 0.750
# Formation energy ... -0.510 eV per atom


# Ba2SbP PBE-GGA relaxed
data_Ba2SbP
_chemical_formula_sum 'Ba2 Sb1 P1'
_cell_length_a 5.583
_cell_length_b 5.583
_cell_length_c 4.388
_cell_angle_alpha 90.00
_cell_angle_beta 90.00
_cell_angle_gamma 102.71
_space_group_name_H-M_alt 'P 1'
_space_group_IT_number 1
loop_
_space_group_symop_operation_xyz
'x,y,z'
loop_
_atom_site_label
_atom_site_type_symbol
_atom_site_fract_x
_atom_site_fract_y
_atom_site_fract_z
Ba1 Ba 0.000 0.500 0.000
Ba2 Ba 0.500 0.000 0.000
Sb1 Sb 0.000 0.000 0.500
P1 P 0.500 0.500 0.500
# Formation energy without anion corrections ... -709 meV per atom


# TlBi3Au3 PBE-GGA relaxed
data_TlBi3Au3
_chemical_formula_sum 'Tl2 Bi6 Au6'
_cell_length_a 7.590
_cell_length_b 7.590
_cell_length_c 7.590
_cell_angle_alpha 73.18
_cell_angle_beta 73.18
_cell_angle_gamma 73.18
_space_group_name_H-M_alt 'P 1'
_space_group_IT_number 1
loop_
_space_group_symop_operation_xyz
'x,y,z'
loop_
_atom_site_label
_atom_site_type_symbol
_atom_site_fract_x
_atom_site_fract_y
_atom_site_fract_z
Tl1 Tl 0.219 0.219 0.219
Tl2 Tl 0.781 0.781 0.781
Bi1 Bi 0.172 0.679 0.364
Bi2 Bi 0.321 0.636 0.828
Bi3 Bi 0.364 0.172 0.679
Bi4 Bi 0.636 0.828 0.321
Bi5 Bi 0.679 0.364 0.172
Bi6 Bi 0.828 0.321 0.636
Au1 Au 0.034 0.390 0.866
Au2 Au 0.134 0.966 0.610
Au3 Au 0.390 0.866 0.034
Au4 Au 0.610 0.134 0.966
Au5 Au 0.866 0.034 0.390
Au6 Au 0.966 0.610 0.134
# Formation energy ... 0.003 eV per atom


# SrAcCuHg PBE-GGA relaxed
data_SrAcCuHg
_chemical_formula_sum 'Sr1 Ac1 Cu1 Hg1'
_cell_length_a 5.548
_cell_length_b 5.548
_cell_length_c 5.548
_cell_angle_alpha 60.00
_cell_angle_beta 60.00
_cell_angle_gamma 60.00
_space_group_name_H-M_alt 'P 1'
_space_group_IT_number 1
loop_
_space_group_symop_operation_xyz
'x,y,z'
loop_
_atom_site_label
_atom_site_type_symbol
_atom_site_fract_x
_atom_site_fract_y
_atom_site_fract_z
Sr1 Sr 0.000 0.000 0.000
Ac1 Ac 0.500 0.500 0.500
Cu1 Cu 0.250 0.250 0.250
Hg1 Hg 0.750 0.750 0.750
# Formation energy ... -0.242 eV per atom


# MnIr3Au PBE-GGA relaxed
data_MnIr3Au
_chemical_formula_sum 'Mn1 Ir3 Au1'
_cell_length_a 4.818
_cell_length_b 4.818
_cell_length_c 4.818
_cell_angle_alpha 90.00
_cell_angle_beta 90.00
_cell_angle_gamma 90.00
_space_group_name_H-M_alt 'P 1'
_space_group_IT_number 1
loop_
_space_group_symop_operation_xyz
'x,y,z'
loop_
_atom_site_label
_atom_site_type_symbol
_atom_site_fract_x
_atom_site_fract_y
_atom_site_fract_z
Mn1 Mn 0.000 0.000 0.000
Ir1 Ir 0.000 0.500 0.500
Ir2 Ir 0.500 0.000 0.500
Ir3 Ir 0.500 0.500 0.000
Au1 Au 0.500 0.500 0.500
# Formation energy ... 2.834 eV per atom


# Sn3Ge2Rh7 PBE-GGA relaxed
data_Sn3Ge2Rh7
_chemical_formula_sum 'Sn3 Ge2 Rh7'
_cell_length_a 11.528
_cell_length_b 11.528
_cell_length_c 4.389
_cell_angle_alpha 90.00
_cell_angle_beta 90.00
_cell_angle_gamma 159.21
_space_group_name_H-M_alt 'P 1'
_space_group_IT_number 1
loop_
_space_group_symop_operation_xyz
'x,y,z'
loop_
_atom_site_label
_atom_site_type_symbol
_atom_site_fract_x
_atom_site_fract_y
_atom_site_fract_z
Sn1 Sn 0.000 0.000 0.000
Sn2 Sn 0.159 0.841 0.000
Sn3 Sn 0.841 0.159 0.000
Ge1 Ge 0.351 0.649 0.500
Ge2 Ge 0.649 0.351 0.500
Rh1 Rh 0.084 0.916 0.500
Rh2 Rh 0.215 0.785 0.500
Rh3 Rh 0.417 0.583 0.000
Rh4 Rh 0.500 0.500 0.500
Rh5 Rh 0.583 0.417 0.000
Rh6 Rh 0.785 0.215 0.500
Rh7 Rh 0.916 0.084 0.500
# Formation energy ... -0.219 eV per atom


| no. | volume (Å³/cell) | total magnetization (μB/f.u.) |
| --- | --- | --- |
| 1 | 176.2 | 0.8 |
| 2 | 157.8 | 0.1 |
| 3 | 55.6 | 2.9 |
| 4 | 103.1 | 4.2 |
| 5 | 81.9 | 11.6 |
| 6 | 598.2 | 1.1 |
| 7 | 139.6 | 0.0 |
| 8 | 133.4 | 0.0 |
| 9 | 390.4 | 0.0 |
| 10 | 120.8 | 0.0 |
| 11 | 111.8 | 0.6 |
| 12 | 207.0 | 0.0 |